Record 1
The following is a PBE calculation of a relaxed structure of Ce3Ga2I2, from Alexandria via LeMat-Bulk.

## Properties
Density of states at the Fermi level ... 20.523 states/eV/f.u.
DFT total energy ... -31.8 eV per cell

Lattice parameters (Å, degrees): 4.137 6.017 9.543 105.09 90.10 110.09
Element x y z (fractional)
Ce 0.000 0.000 0.000
Ce 0.203 0.408 0.716
Ce 0.797 0.592 0.284
Ga 0.314 0.629 0.056
Ga 0.686 0.371 0.944
I 0.098 0.193 0.353
I 0.902 0.807 0.647

***

Record 2
The following is a PBE calculation of a relaxed structure of CsTl2GaPb, from Alexandria via LeMat-Bulk.

## Properties
E_form ... 0.065 eV/atom
Density of states at the Fermi level ... 2.801 states/eV/f.u.
DFT total energy ... -12.0 eV per cell

Lattice parameters (Å, degrees): 5.870 5.870 5.684 90.00 90.00 90.00
Element x y z (fractional)
Cs 0.000 0.000 0.000
Tl 0.000 0.500 0.500
Tl 0.500 0.000 0.500
Ga 0.500 0.500 0.500
Pb 0.500 0.500 0.000

***

Record 3
The following is a PBE calculation of a relaxed structure of Li3Ga4Ge2, from Alexandria via LeMat-Bulk.

## Properties
E_form ... -0.154 eV/atom
Density of states at the Fermi level ... 1.713 states/eV/f.u.
DFT total energy ... -28.5 eV per cell

Lattice parameters (Å, degrees): 6.537 6.537 6.610 93.71 93.71 35.40
Element x y z (fractional)
Li 0.000 0.000 0.000
Li 0.149 0.149 0.619
Li 0.851 0.851 0.381
Ga 0.184 0.184 0.204
Ga 0.443 0.443 0.668
Ga 0.557 0.557 0.332
Ga 0.816 0.816 0.796
Ge 0.374 0.374 0.081
Ge 0.626 0.626 0.919